1.
VASP calculation (PBE) on a relaxed SrCeZnSn crystal.

**Crystal system**: cubic
**DOS(E_F)**: 2.34 states/eV/atom
**Energy relative to the elements**: -0.354 eV/atom
**Energy**: -0.2629 Ry/atom

Structure (CIF):
```
data_SrCeZnSn
_space_group_name_H-M_alt 'F -4 3 m'
_space_group_IT_number 216
_space_group_name_Hall 'F -4 2 3'
_cell_length_a 7.750
_cell_length_b 7.750
_cell_length_c 7.750
_cell_angle_alpha 90.00
_cell_angle_beta 90.00
_cell_angle_gamma 90.00
loop_
_atom_site_label
_atom_site_type_symbol
_atom_site_fract_x
_atom_site_fract_y
_atom_site_fract_z
Sr1 Sr 0.000 0.000 0.000
Ce1 Ce 0.000 0.000 0.500
Zn1 Zn 0.250 0.250 0.250
Sn1 Sn 0.250 0.250 0.750
```


2.
VASP calculation (PBE) on a relaxed In5Ga3Bi12 crystal.

**Crystal system**: cubic
**DOS(E_F)**: 0.65 states/eV/atom
**Energy relative to the elements**: 0.222 eV/atom
**Energy**: -0.2385 Ry/atom

Structure (CIF):
```
data_In5Ga3Bi12
_space_group_name_H-M_alt 'I a -3 d'
_space_group_IT_number 230
_space_group_name_Hall '-I 4bd 2c 3'
_cell_length_a 17.903
_cell_length_b 17.903
_cell_length_c 17.903
_cell_angle_alpha 90.00
_cell_angle_beta 90.00
_cell_angle_gamma 90.00
loop_
_atom_site_label
_atom_site_type_symbol
_atom_site_fract_x
_atom_site_fract_y
_atom_site_fract_z
In1 In 0.000 0.000 0.000
In2 In 0.000 0.250 0.375
Ga1 Ga 0.000 0.250 0.125
Bi1 Bi 0.034 0.094 0.645
```


3.
VASP calculation (PBE) on a relaxed AlPt2Pb crystal.

**Crystal system**: cubic
**DOS(E_F)**: 0.50 states/eV/atom
**Energy relative to the elements**: -0.052 eV/atom
**Energy**: -0.3628 Ry/atom

Structure (CIF):
```
data_AlPt2Pb
_space_group_name_H-M_alt 'F -4 3 m'
_space_group_IT_number 216
_space_group_name_Hall 'F -4 2 3'
_cell_length_a 6.646
_cell_length_b 6.646
_cell_length_c 6.646
_cell_angle_alpha 90.00
_cell_angle_beta 90.00
_cell_angle_gamma 90.00
loop_
_atom_site_label
_atom_site_type_symbol
_atom_site_fract_x
_atom_site_fract_y
_atom_site_fract_z
Al1 Al 0.000 0.000 0.000
Pt1 Pt 0.000 0.000 0.500
Pt2 Pt 0.250 0.250 0.750
Pb1 Pb 0.250 0.250 0.250
```


4.
VASP calculation (PBE) on a relaxed LiCdBrO crystal.

**Crystal system**: trigonal
**Energy**: -0.2589 Ry/atom

Structure (CIF):
```
data_LiCdBrO
_space_group_name_H-M_alt 'R 3 m'
_space_group_IT_number 160
_space_group_name_Hall 'R 3 -2"'
_cell_length_a 3.5575
_cell_length_b 3.5575
_cell_length_c 18.3227
_cell_angle_alpha 90.00
_cell_angle_beta 90.00
_cell_angle_gamma 120.00
loop_
_atom_site_label
_atom_site_type_symbol
_atom_site_fract_x
_atom_site_fract_y
_atom_site_fract_z
Li1 Li 0.0000 0.0000 0.0000
Cd1 Cd 0.0000 0.0000 0.4512
Br1 Br 0.0000 0.0000 0.2316
O1 O 0.0000 0.0000 0.7271
```


5.
VASP calculation (PBE) on a relaxed YRhSCl2 crystal.

**Crystal system**: tetragonal
**DOS(E_F)**: 0.40 states/eV/atom
**Energy**: -0.3663 Ry/atom
**Distance to the lowest polymorph of the same formula**: 0 meV per atom

Structure (CIF):
```
data_YRhSCl2
_space_group_name_H-M_alt 'P 4/m m m'
_space_group_IT_number 123
_space_group_name_Hall '-P 4 2'
_cell_length_a 4.690
_cell_length_b 4.690
_cell_length_c 4.805
_cell_angle_alpha 90.00
_cell_angle_beta 90.00
_cell_angle_gamma 90.00
loop_
_atom_site_label
_atom_site_type_symbol
_atom_site_fract_x
_atom_site_fract_y
_atom_site_fract_z
Y1 Y 0.000 0.000 0.000
Rh1 Rh 0.500 0.500 0.500
S1 S 0.500 0.500 0.000
Cl1 Cl 0.000 0.500 0.500
```


6.
VASP calculation (PBE) on a relaxed SrLa2CoPb crystal.

**Crystal system**: tetragonal
**DOS(E_F)**: 0.96 states/eV/atom
**Energy relative to the elements**: -0.159 eV/atom
**Energy**: -0.3402 Ry/atom
**Distance to the lowest polymorph of the same formula**: 102 meV per atom

Structure (CIF):
```
data_SrLa2CoPb
_space_group_name_H-M_alt 'P 4/m m m'
_space_group_IT_number 123
_space_group_name_Hall '-P 4 2'
_cell_length_a 5.379
_cell_length_b 5.379
_cell_length_c 5.403
_cell_angle_alpha 90.00
_cell_angle_beta 90.00
_cell_angle_gamma 90.00
loop_
_atom_site_label
_atom_site_type_symbol
_atom_site_fract_x
_atom_site_fract_y
_atom_site_fract_z
Sr1 Sr 0.000 0.000 0.000
La1 La 0.000 0.500 0.500
Co1 Co 0.500 0.500 0.500
Pb1 Pb 0.500 0.500 0.000
```


7.
VASP calculation (PBE) on a relaxed Ac5ErAg4 crystal.

**Crystal system**: tetragonal
**DOS(E_F)**: 0.87 states/eV/atom
**Energy relative to the elements**: -0.188 eV/atom
**Energy**: -0.2822 Ry/atom

Structure (CIF):
```
data_Ac5ErAg4
_space_group_name_H-M_alt 'P 4/m m m'
_space_group_IT_number 123
_space_group_name_Hall '-P 4 2'
_cell_length_a 3.951
_cell_length_b 3.951
_cell_length_c 20.820
_cell_angle_alpha 90.00
_cell_angle_beta 90.00
_cell_angle_gamma 90.00
loop_
_atom_site_label
_atom_site_type_symbol
_atom_site_fract_x
_atom_site_fract_y
_atom_site_fract_z
Ac1 Ac 0.000 0.000 0.000
Ac2 Ac 0.000 0.000 0.192
Ac3 Ac 0.000 0.000 0.381
Er1 Er 0.500 0.500 0.500
Ag1 Ag 0.500 0.500 0.095
Ag2 Ag 0.500 0.500 0.289
```


8.
VASP calculation (PBE) on a relaxed GdErGaPt crystal.

**Crystal system**: cubic
**DOS(E_F)**: 0.79 states/eV/atom
**Energy relative to the elements**: -0.860 eV/atom
**Energy**: -0.5724 Ry/atom

Structure (CIF):
```
data_GdErGaPt
_space_group_name_H-M_alt 'F -4 3 m'
_space_group_IT_number 216
_space_group_name_Hall 'F -4 2 3'
_cell_length_a 7.086
_cell_length_b 7.086
_cell_length_c 7.086
_cell_angle_alpha 90.00
_cell_angle_beta 90.00
_cell_angle_gamma 90.00
loop_
_atom_site_label
_atom_site_type_symbol
_atom_site_fract_x
_atom_site_fract_y
_atom_site_fract_z
Gd1 Gd 0.000 0.000 0.000
Er1 Er 0.000 0.000 0.500
Ga1 Ga 0.250 0.250 0.250
Pt1 Pt 0.250 0.250 0.750
```


9.
VASP calculation (PBE) on a relaxed Er6Tl5H crystal.

**Crystal system**: monoclinic
**DOS(E_F)**: 0.87 states/eV/atom
**Energy**: -0.2719 Ry/atom

Structure (CIF):
```
data_Er6Tl5H
_space_group_name_H-M_alt 'C 1 2/m 1'
_space_group_IT_number 12
_space_group_name_Hall '-C 2y'
_cell_length_a 6.548
_cell_length_b 11.019
_cell_length_c 9.212
_cell_angle_alpha 90.00
_cell_angle_beta 99.88
_cell_angle_gamma 90.00
loop_
_atom_site_label
_atom_site_type_symbol
_atom_site_fract_x
_atom_site_fract_y
_atom_site_fract_z
Er1 Er 0.196 0.000 0.337
Er2 Er 0.220 0.328 0.241
Tl1 Tl 0.000 0.142 0.000
Tl2 Tl 0.000 0.290 0.500
Tl3 Tl 0.000 0.500 0.000
H1 H 0.000 0.000 0.500
```


10.
VASP calculation (PBE) on a relaxed LaHSe crystal.

**Crystal system**: trigonal
**Energy**: -0.3882 Ry/atom

Structure (CIF):
```
data_LaHSe
_space_group_name_H-M_alt 'P 3 m 1'
_space_group_IT_number 156
_space_group_name_Hall 'P 3 -2"'
_cell_length_a 4.2111
_cell_length_b 4.2111
_cell_length_c 8.7217
_cell_angle_alpha 90.00
_cell_angle_beta 90.00
_cell_angle_gamma 120.00
loop_
_atom_site_label
_atom_site_type_symbol
_atom_site_fract_x
_atom_site_fract_y
_atom_site_fract_z
La1 La 0.0000 0.0000 0.0000
La2 La 0.3333 0.6667 0.4588
H1 H 0.0000 0.0000 0.4610
H2 H 0.6667 0.3333 0.5294
Se1 Se 0.3333 0.6667 0.8133
Se2 Se 0.6667 0.3333 0.2067
```


11.
VASP calculation (PBE) on a relaxed Cd3PtW crystal.

**Crystal system**: cubic
**DOS(E_F)**: 0.94 states/eV/atom
**Energy relative to the elements**: 1.700 eV/atom
**Energy**: -0.1946 Ry/atom
**Distance to the lowest polymorph of the same formula**: 519 meV per atom

Structure (CIF):
```
data_Cd3PtW
_space_group_name_H-M_alt 'P m -3 m'
_space_group_IT_number 221
_space_group_name_Hall '-P 4 2 3'
_cell_length_a 5.255
_cell_length_b 5.255
_cell_length_c 5.255
_cell_angle_alpha 90.00
_cell_angle_beta 90.00
_cell_angle_gamma 90.00
loop_
_atom_site_label
_atom_site_type_symbol
_atom_site_fract_x
_atom_site_fract_y
_atom_site_fract_z
Cd1 Cd 0.000 0.000 0.500
Pt1 Pt 0.500 0.500 0.500
W1 W 0.000 0.000 0.000
```


12.
VASP calculation (PBE) on a relaxed Pr2NdSmHo crystal.

**Crystal system**: monoclinic
**DOS(E_F)**: 1.24 states/eV/atom
**Energy relative to the elements**: 0.259 eV/atom
**Energy**: -0.3283 Ry/atom

Structure (CIF):
```
data_Pr2NdSmHo
_space_group_name_H-M_alt 'P 1 2/c 1'
_space_group_IT_number 13
_space_group_name_Hall '-P 2yc'
_cell_length_a 8.304
_cell_length_b 6.793
_cell_length_c 6.287
_cell_angle_alpha 90.00
_cell_angle_beta 90.42
_cell_angle_gamma 90.00
loop_
_atom_site_label
_atom_site_type_symbol
_atom_site_fract_x
_atom_site_fract_y
_atom_site_fract_z
Pr1 Pr 0.194 0.194 0.253
Nd1 Nd 0.500 0.500 0.000
Sm1 Sm 0.500 0.077 0.750
Ho1 Ho 0.000 0.343 0.750
```


13.
VASP calculation (PBE) on a relaxed LiCe2P crystal.

**Crystal system**: trigonal
**DOS(E_F)**: 2.90 states/eV/atom
**Energy relative to the elements**: -0.398 eV/atom
**Energy**: -0.3819 Ry/atom
**Distance to the lowest polymorph of the same formula**: 140 meV per atom

Structure (CIF):
```
data_LiCe2P
_space_group_name_H-M_alt 'R -3 m'
_space_group_IT_number 166
_space_group_name_Hall '-R 3 2"'
_cell_length_a 3.7313
_cell_length_b 3.7313
_cell_length_c 31.1382
_cell_angle_alpha 90.00
_cell_angle_beta 90.00
_cell_angle_gamma 120.00
loop_
_atom_site_label
_atom_site_type_symbol
_atom_site_fract_x
_atom_site_fract_y
_atom_site_fract_z
Li1 Li 0.0000 0.0000 0.0000
Ce1 Ce 0.0000 0.0000 0.1115
P1 P 0.0000 0.0000 0.5000
```


14.
VASP calculation (PBE) on a relaxed Er2ThNpN4 crystal.

**Crystal system**: monoclinic
**DOS(E_F)**: 0.96 states/eV/atom
**Energy**: -0.6879 Ry/atom

Structure (CIF):
```
data_Er2ThNpN4
_space_group_name_H-M_alt 'P 1 2/m 1'
_space_group_IT_number 10
_space_group_name_Hall '-P 2y'
_cell_length_a 6.052
_cell_length_b 3.497
_cell_length_c 6.082
_cell_angle_alpha 90.00
_cell_angle_beta 109.41
_cell_angle_gamma 90.00
loop_
_atom_site_label
_atom_site_type_symbol
_atom_site_fract_x
_atom_site_fract_y
_atom_site_fract_z
Er1 Er 0.000 0.000 0.000
Er2 Er 0.500 0.500 0.000
Th1 Th 0.000 0.500 0.500
Np1 Np 0.500 0.000 0.500
N1 N 0.258 0.500 0.249
N2 N 0.259 0.000 0.756
```


15.
VASP calculation (PBE) on a relaxed Ba2DyTc3O12 crystal.

**Crystal system**: trigonal
**DOS(E_F)**: 0.57 states/eV/atom
**Energy**: -0.5489 Ry/atom

Structure (CIF):
```
data_Ba2DyTc3O12
_space_group_name_H-M_alt 'R -3 m'
_space_group_IT_number 166
_space_group_name_Hall '-R 3 2"'
_cell_length_a 7.4107
_cell_length_b 7.4107
_cell_length_c 16.5916
_cell_angle_alpha 90.00
_cell_angle_beta 90.00
_cell_angle_gamma 120.00
loop_
_atom_site_label
_atom_site_type_symbol
_atom_site_fract_x
_atom_site_fract_y
_atom_site_fract_z
Ba1 Ba 0.0000 0.0000 0.1194
Dy1 Dy 0.0000 0.0000 0.5000
Tc1 Tc 0.0000 0.5000 0.0000
O1 O 0.0079 0.5039 0.8856
O2 O 0.0796 0.5398 0.3287
```


16.
VASP calculation (PBE) on a relaxed Na2PuO6 crystal.

**Crystal system**: monoclinic
**DOS(E_F)**: 0.53 states/eV/atom
**Energy**: -0.5079 Ry/atom

Structure (CIF):
```
data_Na2PuO6
_space_group_name_H-M_alt 'C 1 2/c 1'
_space_group_IT_number 15
_space_group_name_Hall '-C 2yc'
_cell_length_a 9.130
_cell_length_b 11.783
_cell_length_c 5.809
_cell_angle_alpha 90.00
_cell_angle_beta 92.54
_cell_angle_gamma 90.00
loop_
_atom_site_label
_atom_site_type_symbol
_atom_site_fract_x
_atom_site_fract_y
_atom_site_fract_z
Na1 Na 0.203 0.121 0.136
Pu1 Pu 0.000 0.420 0.250
O1 O 0.047 0.041 0.487
O2 O 0.120 0.462 0.607
O3 O 0.126 0.309 0.133
```


17.
VASP calculation (PBE) on a relaxed CsTl2Cl3 crystal.

**Crystal system**: tetragonal
**DOS(E_F)**: 0.00 states/eV/atom
**Energy**: -0.2312 Ry/atom
**Distance to the lowest polymorph of the same formula**: 0 meV per atom

Structure (CIF):
```
data_CsTl2Cl3
_space_group_name_H-M_alt 'I 4/m m m'
_space_group_IT_number 139
_space_group_name_Hall '-I 4 2'
_cell_length_a 5.041
_cell_length_b 5.041
_cell_length_c 19.417
_cell_angle_alpha 90.00
_cell_angle_beta 90.00
_cell_angle_gamma 90.00
loop_
_atom_site_label
_atom_site_type_symbol
_atom_site_fract_x
_atom_site_fract_y
_atom_site_fract_z
Cs1 Cs 0.000 0.000 0.000
Tl1 Tl 0.000 0.000 0.330
Cl1 Cl 0.000 0.000 0.175
Cl2 Cl 0.000 0.000 0.500
```


18.
VASP calculation (PBE) on a relaxed Er3Mg2Cd4 crystal.

**Crystal system**: monoclinic
**DOS(E_F)**: 0.78 states/eV/atom
**Energy relative to the elements**: -0.245 eV/atom
**Energy**: -0.1857 Ry/atom

Structure (CIF):
```
data_Er3Mg2Cd4
_space_group_name_H-M_alt 'C 1 2/m 1'
_space_group_IT_number 12
_space_group_name_Hall '-C 2y'
_cell_length_a 10.997
_cell_length_b 5.003
_cell_length_c 9.273
_cell_angle_alpha 90.00
_cell_angle_beta 120.74
_cell_angle_gamma 90.00
loop_
_atom_site_label
_atom_site_type_symbol
_atom_site_fract_x
_atom_site_fract_y
_atom_site_fract_z
Er1 Er 0.000 0.000 0.000
Er2 Er 0.165 0.500 0.670
Mg1 Mg 0.116 0.500 0.284
Cd1 Cd 0.057 0.000 0.388
Cd2 Cd 0.223 0.500 0.059
```


19.
VASP calculation (PBE) on a relaxed GaTcTe2I crystal.

**Crystal system**: tetragonal
**DOS(E_F)**: 0.56 states/eV/atom
**Energy**: -0.2402 Ry/atom
**Distance to the lowest polymorph of the same formula**: 644 meV per atom

Structure (CIF):
```
data_GaTcTe2I
_space_group_name_H-M_alt 'P 4/m m m'
_space_group_IT_number 123
_space_group_name_Hall '-P 4 2'
_cell_length_a 5.402
_cell_length_b 5.402
_cell_length_c 5.537
_cell_angle_alpha 90.00
_cell_angle_beta 90.00
_cell_angle_gamma 90.00
loop_
_atom_site_label
_atom_site_type_symbol
_atom_site_fract_x
_atom_site_fract_y
_atom_site_fract_z
Ga1 Ga 0.000 0.000 0.000
Tc1 Tc 0.500 0.500 0.500
Te1 Te 0.000 0.500 0.000
I1 I 0.000 0.000 0.500
```


20.
VASP calculation (PBE) on a relaxed NiBiPIr2 crystal.

**Crystal system**: tetragonal
**DOS(E_F)**: 0.99 states/eV/atom
**Energy relative to the elements**: 2.018 eV/atom
**Energy**: -0.3337 Ry/atom

Structure (CIF):
```
data_NiBiPIr2
_space_group_name_H-M_alt 'P 4/m m m'
_space_group_IT_number 123
_space_group_name_Hall '-P 4 2'
_cell_length_a 4.997
_cell_length_b 4.997
_cell_length_c 4.660
_cell_angle_alpha 90.00
_cell_angle_beta 90.00
_cell_angle_gamma 90.00
loop_
_atom_site_label
_atom_site_type_symbol
_atom_site_fract_x
_atom_site_fract_y
_atom_site_fract_z
Ni1 Ni 0.000 0.000 0.000
Bi1 Bi 0.000 0.000 0.500
P1 P 0.500 0.500 0.000
Ir1 Ir 0.000 0.500 0.500
```


21.
VASP calculation (PBE) on a relaxed PmThCu4 crystal.

**Crystal system**: tetragonal
**DOS(E_F)**: 0.64 states/eV/atom
**Energy relative to the elements**: -0.170 eV/atom
**Energy**: -0.3623 Ry/atom
**Distance to the lowest polymorph of the same formula**: 0 meV per atom

Structure (CIF):
```
data_PmThCu4
_space_group_name_H-M_alt 'I -4 m 2'
_space_group_IT_number 119
_space_group_name_Hall 'I -4 -2'
_cell_length_a 3.922
_cell_length_b 3.922
_cell_length_c 15.585
_cell_angle_alpha 90.00
_cell_angle_beta 90.00
_cell_angle_gamma 90.00
loop_
_atom_site_label
_atom_site_type_symbol
_atom_site_fract_x
_atom_site_fract_y
_atom_site_fract_z
Pm1 Pm 0.000 0.000 0.000
Th1 Th 0.000 0.500 0.750
Cu1 Cu 0.000 0.000 0.420
Cu2 Cu 0.000 0.500 0.170
```


| no. | magnetization (μB/cell) |
| --- | --- |
| 1 | 5.51 |
| 2 | 0.00 |
| 3 | 0.00 |
| 4 | 0.00 |
| 5 | 0.00 |
| 6 | 0.00 |
| 7 | 0.00 |
| 8 | 28.36 |
| 9 | 0.00 |
| 10 | 0.00 |
| 11 | 2.39 |
| 12 | 0.00 |
| 13 | 6.54 |
| 14 | 3.58 |
| 15 | 0.01 |
| 16 | 11.22 |
| 17 | 0.00 |
| 18 | 0.00 |
| 19 | 5.04 |
| 20 | 0.03 |
| 21 | 0.00 |